(1)
12
Lattice="3.187 -5.525 0.000 3.187 5.525 0.000 -2.126 0.000 11.930" Properties=species:S:1:pos:R:3 comment="PBE La3Pr6Ho2Tm, optimized geometry" sg="C2/m, No. 12" ef_mev_per_atom=20 dos_ef_per_ev_cell=18.12 vol_a3_per_cell=420.1 energy_ev_per_atom=-4.74 crystal_system=monoclinic pbc="T T T"
La 0.000 0.000 0.000
La 3.187 1.843 0.000
La 3.187 -1.843 0.000
Pr 1.061 1.839 3.066
Pr 0.003 0.000 8.866
Pr 1.061 -1.839 3.066
Pr 3.186 1.839 8.864
Pr 4.244 0.000 3.064
Pr 3.186 -1.839 8.864
Ho 2.123 3.683 5.965
Ho 2.123 -3.683 5.965
Tm 2.123 0.000 5.965

(2)
8
Lattice="5.150 0.000 0.000 0.000 5.184 0.000 0.000 0.000 10.245" Properties=species:S:1:pos:R:3 comment="PBE LaPr4Ho2Tm, optimized geometry" sg="Pmmm, No. 47" ef_mev_per_atom=17 dos_ef_per_ev_cell=11.33 vol_a3_per_cell=273.5 energy_ev_per_atom=-4.69 crystal_system=orthorhombic pbc="T T T"
La 0.000 0.000 0.000
Pr 0.000 2.592 2.594
Pr 0.000 2.592 7.650
Pr 2.575 0.000 2.601
Pr 2.575 0.000 7.644
Ho 0.000 0.000 5.122
Ho 2.575 2.592 5.122
Tm 2.575 2.592 0.000

(3)
12
Lattice="3.172 -5.497 0.000 3.172 5.497 0.000 -2.119 0.000 11.861" Properties=species:S:1:pos:R:3 comment="PBE La2Pr6Ho3Tm, optimized geometry" sg="C2/m, No. 12" ef_mev_per_atom=18 dos_ef_per_ev_cell=15.96 vol_a3_per_cell=413.7 energy_ev_per_atom=-4.71 crystal_system=monoclinic pbc="T T T"
La 3.172 3.662 0.000
La 3.172 -3.662 0.000
Pr 0.005 1.821 8.843
Pr 1.065 0.000 3.022
Pr 0.005 -1.821 8.843
Pr 4.221 1.821 3.018
Pr 3.161 0.000 8.840
Pr 4.221 -1.821 3.018
Ho -1.059 0.000 5.931
Ho 2.113 1.828 5.931
Ho 2.113 -1.828 5.931
Tm 3.172 0.000 0.000

(4)
12
Lattice="8.096 0.000 0.000 0.000 5.226 0.000 -3.375 0.000 9.872" Properties=species:S:1:pos:R:3 comment="PBE La3PrHoTm, optimized geometry" sg="P2_1/m, No. 11" ef_mev_per_atom=33 dos_ef_per_ev_cell=21.88 vol_a3_per_cell=417.7 energy_ev_per_atom=-4.74 crystal_system=monoclinic pbc="T T T"
La 1.243 1.306 0.415
La -0.444 1.306 5.362
La 0.414 3.919 2.899
La 4.307 1.306 6.972
La 5.165 3.919 4.509
La 3.478 3.919 9.457
Pr -1.290 3.919 7.821
Pr 6.011 1.306 2.051
Ho 1.095 1.306 8.646
Ho 3.626 3.919 1.225
Tm 1.926 3.919 6.174
Tm 2.795 1.306 3.698